No. 1
Crystalline BaIn4As at its relaxed geometry, computed with PBE-GGA.

Values from the calculation:
uncorrected energy: -2.97 eV/atom

abc: 8.9369 8.9369 8.9369
angles: 90.00 90.00 90.00
Space group F-43m (No. 216)
One atom of each set of equivalent atoms:
1 Ba 0.0000 0.0000 0.0000 x4
2 In 0.1240 0.1240 0.6240 x16
3 As 0.2500 0.2500 0.2500 x4

No. 2
Crystalline KBaFe2Hg at its relaxed geometry, computed with PBE-GGA.

Values from the calculation:
uncorrected energy: -2.52 eV/atom

abc: 5.5885 5.5885 7.0005
angles: 90.00 90.00 90.00
Space group P4/mmm (No. 123)
One atom of each set of equivalent atoms:
1 K 0.0000 0.0000 0.0000 x1
2 Ba 0.0000 0.0000 0.5000 x1
3 Fe 0.0000 0.5000 0.5000 x2
4 Hg 0.5000 0.5000 0.0000 x1

No. 3
Crystalline NaSi2Ni at its relaxed geometry, computed with PBE-GGA.

Values from the calculation:
uncorrected energy: -4.49 eV/atom
energy above the most stable polymorph in this dataset: 0.183 eV per atom
energy relative to the elements, uncorrected: -0.01 eV per formula unit

abc: 3.8679 3.8679 20.8682
angles: 90.00 90.00 120.00
Space group R-3m (No. 166, hexagonal axes)
One atom of each set of equivalent atoms:
1 Na 0.0000 0.0000 0.0000 x3
2 Si 0.0000 0.0000 0.1371 x6
3 Ni 0.0000 0.0000 0.5000 x3

Question: Number 3 is which compound?
Answer: NaSi2Ni